Entry 1:
Cs2CdTeS | PBE | optimized geometry

Geometry as extended XYZ:
```
10
Lattice="8.794 0.000 0.000 0.000 4.730 0.000 -3.631 0.000 10.887" Properties=species:S:1:pos:R:3 pbc="T T T"
Cs 0.105 1.182 4.218
Cs -1.666 1.182 10.474
Cs 6.829 3.547 0.413
Cs 5.058 3.547 6.670
Cd 3.366 3.547 2.804
Cd 1.798 1.182 8.083
Te 0.275 3.547 7.597
Te 4.888 1.182 3.291
S 1.095 3.547 1.956
S 4.069 1.182 8.931
```

Summary:
SG: P2_1/m, No. 11
Magnetization: 0.0 μB/f.u.
Formation energy without anion corrections: -0.9131 eV/atom

---

Entry 2:
Nd4SmBi5 | PBE | optimized geometry

Geometry as extended XYZ:
```
10
Lattice="-2.302 3.249 11.491 2.302 -3.249 11.491 2.302 3.249 -11.491" Properties=species:S:1:pos:R:3 pbc="T T T"
Nd 0.000 0.000 2.297
Nd 0.000 0.000 6.907
Nd 0.000 0.000 16.076
Nd 0.000 0.000 20.686
Sm 0.000 0.000 11.491
Bi 2.302 0.000 0.000
Bi 2.302 0.000 4.601
Bi 2.302 0.000 9.220
Bi 0.000 3.249 2.271
Bi 0.000 3.249 6.891
```

Summary:
ΔH_f (0 K): -0.946 eV per atom
SG: Immm, No. 71
Magnetization: 0.0 μB/f.u.

---

Entry 3:
YMoOs2 | PBE | optimized geometry

Geometry as extended XYZ:
```
4
Lattice="2.916 0.000 0.000 0.000 4.306 0.000 -1.362 0.000 5.623" Properties=species:S:1:pos:R:3 pbc="T T T"
Y 0.000 0.000 0.000
Mo 0.777 0.000 2.812
Os -0.063 2.153 3.993
Os 1.618 2.153 1.631
```

Summary:
ΔH_f (0 K): 0.280 eV per atom
SG: P2/m, No. 10
Magnetization: 0.0 μB/f.u.

---

Entry 4:
Li2DyGe | PBE | optimized geometry

Geometry as extended XYZ:
```
4
Lattice="0.000 3.239 3.239 3.239 0.000 3.239 3.239 3.239 0.000" Properties=species:S:1:pos:R:3 pbc="T T T"
Li 1.620 1.620 1.620
Li 4.859 4.859 4.859
Dy 0.000 0.000 0.000
Ge 3.239 3.239 3.239
```

Summary:
ΔH_f (0 K): -0.333 eV per atom
SG: Fm-3m, No. 225
Magnetization: 0.0 μB/f.u.